Version one
Here is a relaxed structure of KMnBr3 from Alexandria via LeMat-Bulk. Energies are from GGA-PBEsol.

Its crystal system is orthorhombic. The calculated density comes out at 4.02 g/cm3.

Geometry as CIF:
```
data_KMnBr3
_chemical_formula_sum 'K4 Mn4 Br12'
_cell_length_a 9.193
_cell_length_b 3.997
_cell_length_c 15.001
_cell_angle_alpha 90.00
_cell_angle_beta 90.00
_cell_angle_gamma 90.00
_symmetry_space_group_name_H-M 'P n m a'
_symmetry_Int_Tables_number 62
loop_
_symmetry_equiv_pos_as_xyz
'x,y,z'
'-x,-y,-z'
'-x+1/2,-y,z+1/2'
'x+1/2,y,-z+1/2'
'x+1/2,-y+1/2,-z+1/2'
'-x+1/2,y+1/2,z+1/2'
'-x,y+1/2,-z'
'x,-y+1/2,z'
loop_
_atom_site_label
_atom_site_fract_x
_atom_site_fract_y
_atom_site_fract_z
_atom_site_occupancy
K1 0.064 0.250 0.175 1
Mn1 0.164 0.750 0.444 1
Br1 0.023 0.750 0.601 1
Br2 0.171 0.750 0.006 1
Br3 0.219 0.250 0.791 1
```

---

Version two
Here is a relaxed structure of KMnBr3 from Alexandria via LeMat-Bulk. Energies are from GGA-PBEsol.

Its crystal system is cubic. The calculated density comes out at 3.83 g/cm3.

Geometry as CIF:
```
data_KMnBr3
_chemical_formula_sum 'K1 Mn1 Br3'
_cell_length_a 5.251
_cell_length_b 5.251
_cell_length_c 5.251
_cell_angle_alpha 90.00
_cell_angle_beta 90.00
_cell_angle_gamma 90.00
_symmetry_space_group_name_H-M 'P m -3 m'
_symmetry_Int_Tables_number 221
_symmetry_space_group_name_Hall '-P 4 2 3'
loop_
_atom_site_label
_atom_site_fract_x
_atom_site_fract_y
_atom_site_fract_z
_atom_site_occupancy
K1 0.000 0.000 0.000 1
Mn1 0.500 0.500 0.500 1
Br1 0.000 0.500 0.500 1
```

---

Energy relative to the most stable one, in meV per atom: version one 0; version two 50

---

Version one
Here is a relaxed structure of KMn2Br from Alexandria via LeMat-Bulk. Energies are from GGA-PBEsol.

Its crystal system is tetragonal. The calculated density comes out at 3.63 g/cm3. The calculation puts the density of states at the Fermi level at 3.6 states/eV/f.u.

Geometry as CIF:
```
data_KMn2Br
_chemical_formula_sum 'K2 Mn4 Br2'
_cell_length_a 5.320
_cell_length_b 5.320
_cell_length_c 7.392
_cell_angle_alpha 90.00
_cell_angle_beta 90.00
_cell_angle_gamma 90.00
_symmetry_space_group_name_H-M 'I -4 m 2'
_symmetry_Int_Tables_number 119
_symmetry_space_group_name_Hall 'I -4 -2'
loop_
_atom_site_label
_atom_site_fract_x
_atom_site_fract_y
_atom_site_fract_z
_atom_site_occupancy
K1 0.000 0.000 0.000 1
Mn1 0.000 0.000 0.500 1
Mn2 0.000 0.500 0.250 1
Br1 0.000 0.500 0.750 1
```

---

Version two
Here is a relaxed structure of KMn2Br from Alexandria via LeMat-Bulk. Energies are from GGA-PBEsol.

Its crystal system is orthorhombic. The calculated density comes out at 3.59 g/cm3. The calculation puts the density of states at the Fermi level at 3.6 states/eV/f.u.

Geometry as CIF:
```
data_KMn2Br
_chemical_formula_sum 'K2 Mn4 Br2'
_cell_length_a 3.191
_cell_length_b 6.358
_cell_length_c 10.445
_cell_angle_alpha 90.00
_cell_angle_beta 90.00
_cell_angle_gamma 90.00
_symmetry_space_group_name_H-M 'I m m 2'
_symmetry_Int_Tables_number 44
loop_
_symmetry_equiv_pos_as_xyz
'x,y,z'
'-x,-y,z'
'-x,y,z'
'x,-y,z'
'x+1/2,y+1/2,z+1/2'
'-x+1/2,-y+1/2,z+1/2'
'-x+1/2,y+1/2,z+1/2'
'x+1/2,-y+1/2,z+1/2'
loop_
_atom_site_label
_atom_site_fract_x
_atom_site_fract_y
_atom_site_fract_z
_atom_site_occupancy
K1 0.000 0.000 0.000 1
Mn1 0.000 0.000 0.461 1
Mn2 0.000 0.500 0.156 1
Br1 0.000 0.500 0.774 1
```

---

Version three
Here is a relaxed structure of KMn2Br from Alexandria via LeMat-Bulk. Energies are from GGA-PBEsol.

Its crystal system is trigonal. The calculated density comes out at 3.99 g/cm3. The calculation puts the density of states at the Fermi level at 4.1 states/eV/f.u.

Geometry as CIF:
```
data_KMn2Br
_chemical_formula_sum 'K3 Mn6 Br3'
_cell_length_a 3.3152
_cell_length_b 3.3152
_cell_length_c 30.0326
_cell_angle_alpha 90.00
_cell_angle_beta 90.00
_cell_angle_gamma 120.00
_symmetry_space_group_name_H-M 'R -3 m'
_symmetry_Int_Tables_number 166
_symmetry_space_group_name_Hall '-R 3 2"'
loop_
_atom_site_label
_atom_site_fract_x
_atom_site_fract_y
_atom_site_fract_z
_atom_site_occupancy
K1 0.0000 0.0000 0.0000 1
Mn1 0.0000 0.0000 0.2345 1
Br1 0.0000 0.0000 0.5000 1
```

---

Energy relative to the most stable one, in meV per atom: version one 222; version two 0; version three 169

---

Version one
Here is a relaxed structure of KNi2Br from Alexandria via LeMat-Bulk. Energies are from GGA-PBEsol.

Its crystal system is tetragonal. The calculated density comes out at 4.84 g/cm3. The calculation puts the density of states at the Fermi level at 9.0 states/eV/f.u.

Geometry as CIF:
```
data_KNi2Br
_chemical_formula_sum 'K1 Ni2 Br1'
_cell_length_a 3.945
_cell_length_b 3.945
_cell_length_c 5.211
_cell_angle_alpha 90.00
_cell_angle_beta 90.00
_cell_angle_gamma 90.00
_symmetry_space_group_name_H-M 'P 4/m m m'
_symmetry_Int_Tables_number 123
_symmetry_space_group_name_Hall '-P 4 2'
loop_
_atom_site_label
_atom_site_fract_x
_atom_site_fract_y
_atom_site_fract_z
_atom_site_occupancy
K1 0.000 0.000 0.000 1
Ni1 0.000 0.500 0.500 1
Br1 0.500 0.500 0.000 1
```

---

Version two
Here is a relaxed structure of KNi2Br from Alexandria via LeMat-Bulk. Energies are from GGA-PBEsol.

Its crystal system is orthorhombic. The calculated density comes out at 5.35 g/cm3. The calculation puts the density of states at the Fermi level at 6.2 states/eV/f.u.

Geometry as CIF:
```
data_KNi2Br
_chemical_formula_sum 'K2 Ni4 Br2'
_cell_length_a 3.007
_cell_length_b 4.973
_cell_length_c 9.811
_cell_angle_alpha 90.00
_cell_angle_beta 90.00
_cell_angle_gamma 90.00
_symmetry_space_group_name_H-M 'I m m m'
_symmetry_Int_Tables_number 71
_symmetry_space_group_name_Hall '-I 2 2'
loop_
_atom_site_label
_atom_site_fract_x
_atom_site_fract_y
_atom_site_fract_z
_atom_site_occupancy
K1 0.000 0.000 0.000 1
Ni1 0.000 0.500 0.211 1
Br1 0.000 0.000 0.500 1
```

---

Energy relative to the most stable one, in meV per atom: version one 149; version two 0